1.
The following is a DFT calculation (GGA-PBE) of a relaxed structure of Li5Pb4.

abc: 8.676 8.676 6.213
angles: 90.00 90.00 120.00
Element x y z (fractional)
Pb: 0.364 0.364 0.750
Li: 0.000 0.691 0.250
Li: 0.691 0.000 0.250
Pb: 0.000 0.000 0.500
Pb: 0.636 0.636 0.250
Li: 0.333 0.667 0.000
Li: 0.333 0.667 0.500
Pb: 0.000 0.636 0.750
Li: 0.691 0.691 0.750
Li: 0.000 0.309 0.750
Pb: 0.000 0.364 0.250
Li: 0.667 0.333 0.500
Pb: 0.364 0.000 0.250
Pb: 0.636 0.000 0.750
Li: 0.667 0.333 0.000
Li: 0.309 0.000 0.750
Pb: 0.000 0.000 0.000
Li: 0.309 0.309 0.250

Output
The crystal system is hexagonal. The offset from the most stable computed form comes out at 20 meV/atom.

---

2.
The following is a DFT calculation (GGA-PBE) of a relaxed structure of AgSnAuS2.

abc: 4.899 5.396 4.899
angles: 90.00 90.00 90.00
Element x y z (fractional)
S: 0.500 0.000 0.000
Ag: 0.500 0.500 0.500
Au: 0.000 0.000 0.000
S: 0.000 0.000 0.500
Sn: 0.000 0.500 0.000

Output
The crystal system is tetragonal. Its raw total energy is -15.2 eV per cell.